1.
# SmCuSi2 | Alexandria | PBE-GGA | relaxed
data_SmCuSi2
_chemical_formula_sum 'Sm8 Cu8 Si16'
_cell_length_a 13.493
_cell_length_b 4.037
_cell_length_c 10.438
_cell_angle_alpha 90.00
_cell_angle_beta 90.00
_cell_angle_gamma 90.00
_symmetry_space_group_name_H-M 'P n m a'
_symmetry_Int_Tables_number 62
loop_
_symmetry_equiv_pos_as_xyz
'x,y,z'
'-x,-y,-z'
'-x+1/2,-y,z+1/2'
'x+1/2,y,-z+1/2'
'x+1/2,-y+1/2,-z+1/2'
'-x+1/2,y+1/2,z+1/2'
'-x,y+1/2,-z'
'x,-y+1/2,z'
loop_
_atom_site_label
_atom_site_fract_x
_atom_site_fract_y
_atom_site_fract_z
Sm1 0.051 0.250 0.249
Sm2 0.200 0.750 0.525
Cu1 0.052 0.250 0.953
Cu2 0.205 0.750 0.818
Si1 0.033 0.250 0.539
Si2 0.114 0.250 0.739
Si3 0.128 0.750 0.030
Si4 0.211 0.750 0.232
# magnetic moment = 0.000 μB per formula unit
# energy relative to the elements, uncorrected = -0.589 eV per atom



2.
# TbSmCu2Si2 | Alexandria | PBE-GGA | relaxed
data_TbSmCu2Si2
_chemical_formula_sum 'Tb1 Sm1 Cu2 Si2'
_cell_length_a 4.1817
_cell_length_b 4.1817
_cell_length_c 7.6169
_cell_angle_alpha 90.00
_cell_angle_beta 90.00
_cell_angle_gamma 120.00
_symmetry_space_group_name_H-M 'P -3 m 1'
_symmetry_Int_Tables_number 164
_symmetry_space_group_name_Hall '-P 3 2"'
loop_
_atom_site_label
_atom_site_fract_x
_atom_site_fract_y
_atom_site_fract_z
Tb1 0.0000 0.0000 0.0000
Sm1 0.0000 0.0000 0.5000
Cu1 0.3333 0.6667 0.2417
Si1 0.3333 0.6667 0.7553
# magnetic moment = 0.000 μB per formula unit
# energy relative to the elements, uncorrected = -0.657 eV per atom



3.
# TbSm2Cu2Si2 | Alexandria | PBE-GGA | relaxed
data_TbSm2Cu2Si2
_chemical_formula_sum 'Tb3 Sm6 Cu6 Si6'
_cell_length_a 4.1112
_cell_length_b 4.1112
_cell_length_c 32.4831
_cell_angle_alpha 90.00
_cell_angle_beta 90.00
_cell_angle_gamma 120.00
_symmetry_space_group_name_H-M 'R -3 m'
_symmetry_Int_Tables_number 166
_symmetry_space_group_name_Hall '-R 3 2"'
loop_
_atom_site_label
_atom_site_fract_x
_atom_site_fract_y
_atom_site_fract_z
Tb1 0.0000 0.0000 0.0000
Sm1 0.0000 0.0000 0.1190
Cu1 0.0000 0.0000 0.3929
Si1 0.0000 0.0000 0.2735
# magnetic moment = 0.000 μB per formula unit
# energy relative to the elements, uncorrected = -0.496 eV per atom



Q: Look up the energy relative to the elements, uncorrected of the first one.
A: -0.589 eV per atom



Q: energy relative to the elements, uncorrected of number 3 (TbSm2Cu2Si2)?
A: -0.496 eV per atom